Entry 1:
Compound: Ho6Er2Zr
Source: the Alexandria database
Functional: GGA-PBE
Structure: relaxed

Calculated values
- ΔE_f (eV/atom) = 0.068
- space group = P-6m2 (187)

abc: 3.515 3.515 25.602
angles: 90.00 90.00 120.00
Fractional coordinates of all 9 atoms:
Ho  0.000  0.000  0.067
Ho  0.000  0.000  0.286
Ho  0.000  0.000  0.714
Ho  0.000  0.000  0.933
Ho  0.333  0.667  0.399
Ho  0.333  0.667  0.601
Er  0.333  0.667  0.175
Er  0.333  0.667  0.825
Zr  0.000  0.000  0.500



Entry 2:
Compound: Li3H6Ru
Source: the Alexandria database
Functional: GGA-PBE
Structure: relaxed

Calculated values
- space group = C2/m (12)

abc: 4.849 4.849 4.776
angles: 119.16 119.16 60.20
Fractional coordinates of all 10 atoms:
Li  0.000  0.000  0.000
Li  0.250  0.250  0.772
Li  0.750  0.750  0.228
H  0.189  0.671  0.195
H  0.267  0.267  0.383
H  0.329  0.811  0.805
H  0.671  0.189  0.195
H  0.733  0.733  0.617
H  0.811  0.329  0.805
Ru  0.500  0.500  0.500



| no. | total DFT energy (no corrections) (eV/atom) |
| --- | --- |
| 1 | -4.948 |
| 2 | -3.722 |